Record 1
# Tm3Se2S | the Alexandria database | PBE-GGA | relaxed
data_Tm3Se2S
_chemical_formula_sum 'Tm3 Se2 S1'
_cell_length_a 3.9582
_cell_length_b 3.9582
_cell_length_c 9.7001
_cell_angle_alpha 90.00
_cell_angle_beta 90.00
_cell_angle_gamma 120.00
_space_group_name_H-M_alt 'P -3 m 1'
_space_group_IT_number 164
_space_group_name_Hall '-P 3 2"'
loop_
_atom_site_label
_atom_site_type_symbol
_atom_site_fract_x
_atom_site_fract_y
_atom_site_fract_z
_atom_site_occupancy
Tm1 Tm 0.0000 0.0000 0.0000 1
Tm2 Tm 0.3333 0.6667 0.6500 1
Se1 Se 0.3333 0.6667 0.1726 1
S1 S 0.0000 0.0000 0.5000 1
# - Fermi-level density of states (states/eV/f.u.) = 2.98
# - ΔE_f (raw) (meV/atom) = -1746
# - magnetization (μB/atom) = 0.0000

***

Record 2
# Tm3Se2S | the Alexandria database | PBE-GGA | relaxed
data_Tm3Se2S
_chemical_formula_sum 'Tm6 Se4 S2'
_cell_length_a 3.9550
_cell_length_b 5.5683
_cell_length_c 11.9825
_cell_angle_alpha 90.00
_cell_angle_beta 90.00
_cell_angle_gamma 90.00
_space_group_name_H-M_alt 'I m m m'
_space_group_IT_number 71
_space_group_name_Hall '-I 2 2'
loop_
_atom_site_label
_atom_site_type_symbol
_atom_site_fract_x
_atom_site_fract_y
_atom_site_fract_z
_atom_site_occupancy
Tm1 Tm 0.0000 0.0000 0.0000 1
Tm2 Tm 0.0000 0.0000 0.3506 1
Se1 Se 0.0000 0.5000 0.3277 1
S1 S 0.0000 0.5000 0.0000 1
# - Fermi-level density of states (states/eV/f.u.) = 2.65
# - ΔE_f (raw) (meV/atom) = -1746
# - magnetization (μB/atom) = 0.0000

***

Record 3
# Tm4Se3S | the Alexandria database | PBE-GGA | relaxed
data_Tm4Se3S
_chemical_formula_sum 'Tm8 Se6 S2'
_cell_length_a 8.0122
_cell_length_b 11.2723
_cell_length_c 3.9466
_cell_angle_alpha 90.00
_cell_angle_beta 90.00
_cell_angle_gamma 90.00
_space_group_name_H-M_alt 'C m m m'
_space_group_IT_number 65
_space_group_name_Hall '-C 2 2'
loop_
_atom_site_label
_atom_site_type_symbol
_atom_site_fract_x
_atom_site_fract_y
_atom_site_fract_z
_atom_site_occupancy
Tm1 Tm 0.0000 0.2364 0.0000 1
Tm2 Tm 0.2272 0.0000 0.5000 1
Se1 Se 0.0000 0.5000 0.0000 1
Se2 Se 0.2500 0.2500 0.5000 1
S1 S 0.0000 0.0000 0.0000 1
# - Fermi-level density of states (states/eV/f.u.) = 3.24
# - ΔE_f (raw) (meV/atom) = -1732
# - magnetization (μB/atom) = 0.0000

***

Record 4
# Tm2SeS2 | the Alexandria database | PBE-GGA | relaxed
data_Tm2SeS2
_chemical_formula_sum 'Tm4 Se2 S4'
_cell_length_a 3.9744
_cell_length_b 5.3245
_cell_length_c 12.5794
_cell_angle_alpha 90.00
_cell_angle_beta 90.00
_cell_angle_gamma 90.00
_space_group_name_H-M_alt 'I m m m'
_space_group_IT_number 71
_space_group_name_Hall '-I 2 2'
loop_
_atom_site_label
_atom_site_type_symbol
_atom_site_fract_x
_atom_site_fract_y
_atom_site_fract_z
_atom_site_occupancy
Tm1 Tm 0.0000 0.0000 0.1611 1
Se1 Se 0.0000 0.5000 0.5000 1
S1 S 0.0000 0.5000 0.1950 1
# - Fermi-level density of states (states/eV/f.u.) = 0.00
# - ΔE_f (raw) (meV/atom) = -2018
# - magnetization (μB/atom) = 0.0000

***

Number 1: raw total energy -35.0 eV for the cell shown. Number 2: raw total energy -70.0 eV for the cell shown. Number 3: raw total energy -92.7 eV for the cell shown. Number 4: raw total energy -61.5 eV for the cell shown.